AcTi2HgO7, optimized geometry, DFT PBE-GGA; V = 158.1 Å³ per cell; E = -7.421 eV per atom; SG = I-4m2 (119)
1.0
-1.934 1.934 10.571
1.934 -1.934 10.571
1.934 1.934 -10.571
Ac Ti Hg O
1 2 1 7
Direct
0.000 0.000 0.000
0.392 0.392 0.000
0.608 0.608 0.000
0.750 0.250 0.500
0.089 0.589 0.500
0.306 0.306 0.000
0.411 0.911 0.500
0.500 0.500 0.000
0.592 0.092 0.500
0.694 0.694 0.000
0.908 0.408 0.500